1.
Below is a relaxed PrScC2 crystal, with properties calculated at the PBE level.

Geometry as POSCAR:
```
PrScC2
1.0
1.796 1.037 5.738
-1.796 1.037 5.738
0.000 -2.073 5.738
Pr Sc C
1 1 2
Cartesian
0.000 0.000 0.000 Pr
0.000 0.000 8.608 Sc
0.000 0.000 4.102 C
0.000 0.000 13.113 C
```

Output
Magnetization ... 0.00 μB/f.u.
Electronic total energy ... -0.528 Ry/atom
Calculated formation energy ... 0.213 eV per atom
Fermi-level density of states ... 4.50 states/eV/cell


2.
Below is a relaxed KMnRe2 crystal, with properties calculated at the PBE level.

Geometry as POSCAR:
```
KMnRe2
1.0
-1.306 2.486 5.428
1.306 -2.486 5.428
1.306 2.486 -5.428
K Mn Re
1 1 2
Cartesian
0.000 0.000 0.000 K
0.000 0.000 5.428 Mn
1.306 0.000 3.120 Re
0.000 2.486 2.308 Re
```

Output
Magnetization ... 2.87 μB/f.u.
Electronic total energy ... -0.571 Ry/atom
Energy relative to the lowest polymorph listed for this composition ... 1.06 eV/f.u.
Calculated formation energy ... 1.028 eV per atom
Fermi-level density of states ... 2.68 states/eV/cell


3.
Below is a relaxed Pr12DyHo5 crystal, with properties calculated at the PBE level.

Geometry as POSCAR:
```
Pr12DyHo5
1.0
10.947 0.000 0.000
0.000 5.182 0.000
-0.064 0.000 10.960
Pr Dy Ho
12 1 5
Cartesian
0.016 0.000 1.851 Pr
1.754 2.591 7.281 Pr
1.847 2.591 0.022 Pr
3.592 0.000 5.455 Pr
3.617 0.000 9.153 Pr
5.429 2.591 3.632 Pr
5.454 2.591 7.328 Pr
7.266 0.000 1.807 Pr
7.291 0.000 5.505 Pr
9.036 2.591 10.938 Pr
9.128 2.591 3.680 Pr
10.867 0.000 9.109 Pr
5.473 2.591 0.000 Dy
-0.032 0.000 5.480 Ho
1.805 2.591 3.651 Ho
3.639 0.000 1.826 Ho
7.244 0.000 9.134 Ho
9.077 2.591 7.309 Ho
```

Output
Magnetization ... 0.00 μB/f.u.
Electronic total energy ... -0.345 Ry/atom
Calculated formation energy ... 0.023 eV per atom
Fermi-level density of states ... 29.28 states/eV/cell


4.
Below is a relaxed Ba5RhO8 crystal, with properties calculated at the PBE level.

Geometry as POSCAR:
```
Ba5RhO8
1.0
-3.958 3.958 4.312
3.958 -3.958 4.312
3.958 3.958 -4.312
Ba Rh O
5 1 8
Cartesian
0.000 0.000 0.000 Ba
2.921 1.783 -0.889 Ba
2.175 -1.036 5.201 Ba
1.036 2.175 3.423 Ba
1.783 4.994 0.889 Ba
3.958 0.000 2.156 Rh
2.078 -0.255 2.426 O
1.879 4.213 -1.886 O
0.737 2.396 0.845 O
3.703 1.879 1.886 O
-0.737 5.520 0.845 O
-1.562 3.221 3.467 O
0.255 2.078 6.198 O
1.562 4.695 3.467 O
```

Output
Magnetization ... 3.22 μB/f.u.
Electronic total energy ... -0.431 Ry/atom
Fermi-level density of states ... 12.12 states/eV/cell
Formation energy (no corrections) ... -1.82 eV/atom


5.
Below is a relaxed MnCd2Au3 crystal, with properties calculated at the PBE level.

Geometry as POSCAR:
```
MnCd2Au3
1.0
2.315 -6.975 0.000
2.315 6.975 0.000
0.000 0.000 6.895
Mn Cd Au
2 4 6
Cartesian
2.315 4.737 0.000 Mn
2.315 -4.737 0.000 Mn
2.315 4.657 3.448 Cd
2.315 0.000 0.000 Cd
2.315 0.000 3.448 Cd
2.315 -4.657 3.448 Cd
0.000 0.000 1.684 Au
0.000 0.000 5.211 Au
2.315 2.453 1.549 Au
2.315 2.453 5.346 Au
2.315 -2.453 1.549 Au
2.315 -2.453 5.346 Au
```

Output
Magnetization ... 4.19 μB/f.u.
Electronic total energy ... -0.265 Ry/atom
Calculated formation energy ... -0.129 eV per atom
Fermi-level density of states ... 3.93 states/eV/cell


6.
Below is a relaxed HoTmGePt crystal, with properties calculated at the PBE level.

Geometry as POSCAR:
```
HoTmGePt
1.0
0.000 3.510 3.510
3.510 0.000 3.510
3.510 3.510 0.000
Ho Tm Ge Pt
1 1 1 1
Cartesian
0.000 0.000 0.000 Ho
3.510 3.510 3.510 Tm
1.755 1.755 1.755 Ge
5.266 5.266 5.266 Pt
```

Output
Magnetization ... 0.00 μB/f.u.
Electronic total energy ... -0.433 Ry/atom
Energy relative to the lowest polymorph listed for this composition ... 0.52 eV/f.u.
Calculated formation energy ... -0.961 eV per atom
Fermi-level density of states ... 1.03 states/eV/cell


7.
Below is a relaxed ScTaNi crystal, with properties calculated at the PBE level.

Geometry as POSCAR:
```
ScTaNi
1.0
-2.693 3.596 2.676
2.693 -3.596 2.676
2.693 3.596 -2.676
Sc Ta Ni
2 2 2
Cartesian
1.347 0.958 0.000 Sc
1.347 2.638 2.676 Sc
1.347 -1.788 1.348 Ta
1.347 5.384 -1.328 Ta
0.000 3.596 0.014 Ni
0.000 0.000 2.690 Ni
```

Output
Magnetization ... 0.00 μB/f.u.
Electronic total energy ... -0.599 Ry/atom
Energy relative to the lowest polymorph listed for this composition ... 0.01 eV/f.u.
Calculated formation energy ... -0.163 eV per atom
Fermi-level density of states ... 5.65 states/eV/cell


Repeat the seventh record exactly.
Below is a relaxed ScTaNi crystal, with properties calculated at the PBE level.

Geometry as POSCAR:
```
ScTaNi
1.0
-2.693 3.596 2.676
2.693 -3.596 2.676
2.693 3.596 -2.676
Sc Ta Ni
2 2 2
Cartesian
1.347 0.958 0.000 Sc
1.347 2.638 2.676 Sc
1.347 -1.788 1.348 Ta
1.347 5.384 -1.328 Ta
0.000 3.596 0.014 Ni
0.000 0.000 2.690 Ni
```

Output
Magnetization ... 0.00 μB/f.u.
Electronic total energy ... -0.599 Ry/atom
Energy relative to the lowest polymorph listed for this composition ... 0.01 eV/f.u.
Calculated formation energy ... -0.163 eV per atom
Fermi-level density of states ... 5.65 states/eV/cell


Among the records above, which one has the highest magnetization?
MnCd2Au3


Copy entry 5 word for word.
Below is a relaxed MnCd2Au3 crystal, with properties calculated at the PBE level.

Geometry as POSCAR:
```
MnCd2Au3
1.0
2.315 -6.975 0.000
2.315 6.975 0.000
0.000 0.000 6.895
Mn Cd Au
2 4 6
Cartesian
2.315 4.737 0.000 Mn
2.315 -4.737 0.000 Mn
2.315 4.657 3.448 Cd
2.315 0.000 0.000 Cd
2.315 0.000 3.448 Cd
2.315 -4.657 3.448 Cd
0.000 0.000 1.684 Au
0.000 0.000 5.211 Au
2.315 2.453 1.549 Au
2.315 2.453 5.346 Au
2.315 -2.453 1.549 Au
2.315 -2.453 5.346 Au
```

Output
Magnetization ... 4.19 μB/f.u.
Electronic total energy ... -0.265 Ry/atom
Calculated formation energy ... -0.129 eV per atom
Fermi-level density of states ... 3.93 states/eV/cell